Record 1
SnBiAu2: optimized geometry, GGA-PBE.

abc: 4.2575 4.2575 6.9644
angles: 72.20 72.20 60.00
With the nearest neighbours (Å) after each atom.
Atoms (fractional coordinates):
Bi (0.6694, 0.6694, 0.9919)  6 Au 2.99-3.05
Au (0.0898, 0.0898, 0.7307)  3 Sn 2.86, 3 Bi 2.99, 1 Au 3.00
Au (0.2434, 0.2434, 0.2697)  3 Sn 2.91, 1 Au 3.00, 3 Bi 3.05
Sn (0.4974, 0.4974, 0.5078)  6 Au 2.86-2.91

Results
The formation energy is -0.06 eV/atom.

---

Record 2
CaPbAuO2: optimized geometry, GGA-PBE.

abc: 4.3056 7.4200 4.3056
angles: 90.00 90.00 90.00
With the nearest neighbours (Å) after each atom.
Atoms (fractional coordinates):
Au (0.5000, 0.5000, 0.5000)  4 Pb 3.04
O (0.0000, 0.0000, 0.5000)  2 Ca 2.15
O (0.5000, 0.0000, 0.0000)  2 Ca 2.15
Pb (0.0000, 0.5000, 0.0000)  4 Au 3.04
Ca (0.0000, 0.0000, 0.0000)  4 O 2.15

Results
The value obtained for the uncorrected energy is -4.1141 eV per atom.

---

Record 3
Cs2HfO: optimized geometry, GGA-PBE.

abc: 5.9722 5.9722 5.9722
angles: 60.00 60.00 60.00
With the nearest neighbours (Å) after each atom.
Atoms (fractional coordinates):
Hf (0.5000, 0.5000, 0.5000)  8 Cs 3.66
Cs (0.2500, 0.2500, 0.2500)  4 O 3.66, 4 Hf 3.66
Cs (0.7500, 0.7500, 0.7500)  4 O 3.66, 4 Hf 3.66
O (0.0000, 0.0000, 0.0000)  8 Cs 3.66

Results
The value obtained for the uncorrected energy is -3.0293 eV per atom.

---

Record 4
RbGeF4: optimized geometry, GGA-PBE.

abc: 4.1725 6.4352 8.0606
angles: 90.00 105.00 90.00
With the nearest neighbours (Å) after each atom.
Atoms (fractional coordinates):
Ge (0.0884, 0.7500, 0.1769)  4 F 1.87-2.09
Ge (0.9116, 0.2500, 0.8231)  4 F 1.87-2.09
F (0.0000, 0.0000, 0.0000)  2 Ge 2.12
F (0.4152, 0.2500, 0.8303)  2 Ge 2.09
F (0.8257, 0.0464, 0.6514)  1 Ge 1.87
F (0.0000, 0.5000, 0.0000)  2 Ge 2.12
F (0.1743, 0.5464, 0.3486)  1 Ge 1.87
F (0.8257, 0.4536, 0.6514)  1 Ge 1.87
F (0.5848, 0.7500, 0.1697)  2 Ge 2.09
F (0.1743, 0.9536, 0.3486)  1 Ge 1.87
Rb (0.6518, 0.2500, 0.3036)  6 F 2.85-3.01
Rb (0.3482, 0.7500, 0.6964)  6 F 2.85-3.01

Results
The value obtained for the uncorrected energy is -4.6214 eV per atom.

---

Record 5
Pu3TaTl3Se8: optimized geometry, GGA-PBE.

abc: 8.1671 8.1705 9.1829
angles: 116.45 90.00 119.99
With the nearest neighbours (Å) after each atom.
Atoms (fractional coordinates):
Se (0.7822, 0.5643, 0.3044)  1 Ta 2.65, 2 Pu 2.91
Se (0.2179, 0.9781, 0.6956)  1 Ta 2.65, 2 Pu 2.91
Se (0.7361, 0.4722, 0.7082)  3 Pu 2.87
Se (0.7821, 0.0219, 0.3044)  1 Ta 2.65, 2 Pu 2.91
Se (0.2639, 0.5278, 0.2918)  3 Pu 2.87
Se (0.2398, 0.0219, 0.3044)  1 Ta 2.65, 2 Pu 2.91
Se (0.7602, 0.9781, 0.6956)  1 Ta 2.65, 2 Pu 2.91
Se (0.2178, 0.4357, 0.6956)  1 Ta 2.65, 2 Pu 2.91
Tl (0.0000, 0.0000, 0.0000)  6 Se 3.29-3.30
Tl (0.0000, 0.5000, 0.0000)  6 Se 3.29-3.30
Tl (0.5000, 0.5000, 0.0000)  6 Se 3.29-3.30
Pu (0.5000, 0.5000, 0.5000)  6 Se 2.87-2.91
Pu (0.0000, 0.5000, 0.5000)  6 Se 2.87-2.91
Pu (0.5000, 0.0000, 0.5000)  6 Se 2.87-2.91
Ta (0.0000, 0.0000, 0.5000)  6 Se 2.65

Results
The value obtained for the uncorrected energy is -7.0010 eV per atom.

---

Record 6
Y3HoEr6Th2: optimized geometry, GGA-PBE.

abc: 6.1340 6.1340 11.7105
angles: 95.02 95.02 119.96
With the nearest neighbours (Å) after each atom.
Atoms (fractional coordinates):
Er (0.2543, 0.2543, 0.7527)  2 Th 3.50, 1 Ho 3.52, 6 Er 3.52-3.58, 3 Y 3.55-3.56
Er (0.0826, 0.4192, 0.2470)  2 Th 3.50, 1 Ho 3.52, 6 Er 3.52-3.58, 3 Y 3.55-3.57
Er (0.9174, 0.5808, 0.7530)  2 Th 3.50, 1 Ho 3.52, 6 Er 3.52-3.58, 3 Y 3.55-3.57
Er (0.4192, 0.0826, 0.2470)  2 Th 3.50, 1 Ho 3.52, 6 Er 3.52-3.58, 3 Y 3.55-3.57
Er (0.7457, 0.7457, 0.2473)  2 Th 3.50, 1 Ho 3.52, 6 Er 3.52-3.58, 3 Y 3.55-3.56
Er (0.5808, 0.9174, 0.7530)  2 Th 3.50, 1 Ho 3.52, 6 Er 3.52-3.58, 3 Y 3.55-3.57
Y (0.5000, 0.5000, 0.5000)  6 Y 3.54, 6 Er 3.55-3.57
Y (0.1663, 0.8337, 0.5000)  6 Y 3.53-3.55, 6 Er 3.55-3.57
Y (0.8337, 0.1663, 0.5000)  6 Y 3.53-3.55, 6 Er 3.55-3.57
Th (0.6667, 0.3333, 0.0000)  6 Er 3.50, 3 Ho 3.54, 3 Th 3.54
Th (0.3333, 0.6667, 0.0000)  6 Er 3.50, 3 Ho 3.54, 3 Th 3.54
Ho (0.0000, 0.0000, 0.0000)  6 Er 3.52, 6 Th 3.54

Results
The formation energy is 0.02 eV/atom.

---

Record 7
Tl2Te2Au: optimized geometry, GGA-PBE.

abc: 4.3283 4.3283 9.4593
angles: 76.77 76.77 90.00
With the nearest neighbours (Å) after each atom.
Atoms (fractional coordinates):
Tl (0.5918, 0.5918, 0.8163)  1 Tl 3.29, 4 Au 3.47, 4 Te 3.56
Tl (0.4082, 0.4082, 0.1837)  1 Tl 3.29, 4 Au 3.47, 4 Te 3.56
Au (0.0000, 0.0000, 0.0000)  8 Tl 3.47
Te (0.7500, 0.2500, 0.5000)  4 Te 3.06
Te (0.2500, 0.7500, 0.5000)  4 Te 3.06

Results
The value obtained for the uncorrected energy is -2.8323 eV per atom.

---

Record 8
MgTa2GaAu: optimized geometry, GGA-PBE.

abc: 5.0766 4.6894 5.0766
angles: 90.00 90.00 90.00
With the nearest neighbours (Å) after each atom.
Atoms (fractional coordinates):
Au (0.0000, 0.0000, 0.0000)  2 Ga 2.34, 4 Ta 2.54
Ta (0.0000, 0.0000, 0.5000)  2 Au 2.54
Ta (0.5000, 0.0000, 0.0000)  2 Au 2.54
Ga (0.0000, 0.5000, 0.0000)  2 Au 2.34
Mg (0.5000, 0.5000, 0.5000)  8 Ta 3.46, 4 Ga 3.59

Results
The formation energy is 1.28 eV/atom.